Record 1
Here is crystalline Hf3GeAs at its relaxed geometry from Alexandria. Energies are from GGA-PBE.

Calculated values
- calculated formation energy (eV/f.u.) = -3.11
- crystal system = monoclinic

Cell: 3.7559 8.8626 6.4975 Å, 90.00 106.79 90.00°
With the nearest neighbours (Å) after each atom.
Space group P2_1/m (No. 11)
One atom of each set of equivalent atoms:
Hf (0.1036, 0.2500, 0.2058)  2 As 2.56, 2 Ge 2.70
Hf (0.3483, 0.0456, 0.6963)  2 As 2.69, 3 Ge 2.83-2.94
Ge (0.2403, 0.7500, 0.4815)  8 Hf 2.70-2.94
As (0.0000, 0.0000, 0.0000)  6 Hf 2.56-2.69

Record 2
Here is crystalline GaW2S at its relaxed geometry from Alexandria. Energies are from GGA-PBE.

Calculated values
- ΔE_f (raw) (eV/f.u.) = 2.23
- crystal system = tetragonal

Cell: 3.8728 3.8728 17.8120 Å, 90.00 90.00 90.00°
With the nearest neighbours (Å) after each atom.
Space group I-42d (No. 122)
One atom of each set of equivalent atoms:
Ga (0.0000, 0.0000, 0.0000)  4 W 2.64, 4 S 2.74
W (0.2300, 0.2500, 0.6250)  2 S 2.59, 4 W 2.63-2.85, 2 Ga 2.64
S (0.0000, 0.0000, 0.5000)  4 W 2.59, 4 Ga 2.74

Calculated V (Å³/cell), listed in the same order as above: 207; 267